Record 1
VASP calculation (PBE) on RbPdAu3O4 after structural relaxation.

Geometry as POSCAR:
```
RbPdAu3O4
1.0
5.611 0.000 0.000
0.000 5.611 0.000
0.000 0.000 5.611
Rb Pd Au O
1 1 3 4
Cartesian
0.000 0.000 0.000 Rb
2.806 2.806 2.806 Pd
0.000 2.806 2.806 Au
2.806 0.000 2.806 Au
2.806 2.806 0.000 Au
1.587 1.587 1.587 O
1.587 4.025 4.025 O
4.025 1.587 4.025 O
4.025 4.025 1.587 O
```

Output
The final energy is -3.687 eV per atom.

=====

Record 2
VASP calculation (PBE) on CoAs after structural relaxation.

Geometry as POSCAR:
```
CoAs
1.0
0.000 2.419 2.419
2.419 0.000 2.419
2.419 2.419 0.000
Co As
1 1
Cartesian
0.000 0.000 0.000 Co
2.419 2.419 2.419 As
```

Output
The final energy is -5.745 eV per atom.

=====

Record 3
VASP calculation (PBE) on CsAu after structural relaxation.

Geometry as POSCAR:
```
CsAu
1.0
0.000 3.666 3.666
3.666 0.000 3.666
3.666 3.666 0.000
Cs Au
1 1
Cartesian
0.000 0.000 0.000 Cs
3.666 3.666 3.666 Au
```

Output
The energy above the most stable polymorph in this dataset comes out at 0.000 eV per atom.

=====

> Which formula does entry 1 have?

RbPdAu3O4